# 1
# Sm2YHoSe6

A relaxed structure of Sm2YHoSe6 (PBE, the Alexandria database).

Calculated values
symmetry	R3, No. 146

Cell: 7.755 7.755 7.755 Å, 56.07 56.07 56.07°
Element x y z (fractional)
Sm: 0.000 0.000 0.000
Sm: 0.500 0.500 0.500
Y: 0.199 0.199 0.199
Ho: 0.698 0.698 0.698
Se: 0.089 0.805 0.412
Se: 0.307 0.590 0.911
Se: 0.412 0.089 0.805
Se: 0.590 0.911 0.307
Se: 0.805 0.412 0.089
Se: 0.911 0.307 0.590


# 2
# Sm2YHoSe4

A relaxed structure of Sm2YHoSe4 (PBE, the Alexandria database).

Calculated values
symmetry	P2/m, No. 10

Cell: 7.106 4.065 7.243 Å, 90.00 108.78 90.00°
Element x y z (fractional)
Sm: 0.000 0.000 0.000
Sm: 0.500 0.500 0.000
Y: 0.000 0.500 0.500
Ho: 0.500 0.000 0.500
Se: 0.248 0.000 0.741
Se: 0.255 0.500 0.260
Se: 0.745 0.500 0.740
Se: 0.752 0.000 0.259


# 3
# Ho6SnSe5

A relaxed structure of Ho6SnSe5 (PBE, the Alexandria database).

Calculated values
symmetry	C2/m, No. 12

Cell: 7.122 7.122 7.150 Å, 99.55 99.55 119.95°
Element x y z (fractional)
Ho: 0.077 0.415 0.744
Ho: 0.246 0.246 0.253
Ho: 0.415 0.077 0.744
Ho: 0.585 0.923 0.256
Ho: 0.754 0.754 0.747
Ho: 0.923 0.585 0.256
Sn: 0.500 0.500 0.000
Se: 0.000 0.000 0.500
Se: 0.168 0.832 0.000
Se: 0.336 0.664 0.500
Se: 0.664 0.336 0.500
Se: 0.832 0.168 0.000


# 4
# HoSnSe3

A relaxed structure of HoSnSe3 (PBE, the Alexandria database).

Calculated values
symmetry	P-6c2, No. 188

Cell: 6.946 6.946 7.028 Å, 90.00 90.00 120.00°
Element x y z (fractional)
Ho: 0.000 0.000 0.000
Ho: 0.000 0.000 0.500
Sn: 0.667 0.333 0.000
Sn: 0.667 0.333 0.500
Se: 0.330 0.005 0.250
Se: 0.330 0.325 0.750
Se: 0.675 0.005 0.750
Se: 0.675 0.670 0.250
Se: 0.995 0.325 0.250
Se: 0.995 0.670 0.750


# 5
# Ho3Sn5Se12

A relaxed structure of Ho3Sn5Se12 (PBE, the Alexandria database).

Calculated values
symmetry	Ia-3d, No. 230

Cell: 14.453 14.453 14.453 Å, 109.47 109.47 109.47°
Element x y z (fractional)
Ho: 0.125 0.250 0.375
Ho: 0.125 0.375 0.750
Ho: 0.250 0.375 0.125
Ho: 0.250 0.875 0.625
Ho: 0.375 0.125 0.250
Ho: 0.375 0.750 0.125
Ho: 0.625 0.250 0.875
Ho: 0.625 0.875 0.750
Ho: 0.750 0.125 0.375
Ho: 0.750 0.625 0.875
Ho: 0.875 0.625 0.250
Ho: 0.875 0.750 0.625
Sn: 0.000 0.000 0.000
Sn: 0.000 0.000 0.500
Sn: 0.000 0.500 0.000
Sn: 0.000 0.500 0.500
Sn: 0.125 0.750 0.875
Sn: 0.125 0.875 0.250
Sn: 0.250 0.125 0.875
Sn: 0.250 0.625 0.375
Sn: 0.375 0.250 0.625
Sn: 0.375 0.625 0.750
Sn: 0.500 0.000 0.000
Sn: 0.500 0.000 0.500
Sn: 0.500 0.500 0.000
Sn: 0.500 0.500 0.500
Sn: 0.625 0.375 0.250
Sn: 0.625 0.750 0.375
Sn: 0.750 0.375 0.625
Sn: 0.750 0.875 0.125
Sn: 0.875 0.125 0.750
Sn: 0.875 0.250 0.125
Se: 0.052 0.226 0.140
Se: 0.052 0.327 0.912
Se: 0.086 0.726 0.673
Se: 0.086 0.860 0.412
Se: 0.088 0.640 0.414
Se: 0.088 0.948 0.673
Se: 0.140 0.052 0.226
Se: 0.140 0.588 0.914
Se: 0.173 0.226 0.586
Se: 0.173 0.448 0.588
Se: 0.226 0.140 0.052
Se: 0.226 0.586 0.173
Se: 0.274 0.327 0.914
Se: 0.274 0.448 0.360
Se: 0.327 0.912 0.052
Se: 0.327 0.914 0.274
Se: 0.360 0.274 0.448
Se: 0.360 0.586 0.912
Se: 0.412 0.086 0.860
Se: 0.412 0.827 0.552
Se: 0.414 0.088 0.640
Se: 0.414 0.827 0.774
Se: 0.448 0.360 0.274
Se: 0.448 0.588 0.173
Se: 0.552 0.412 0.827
Se: 0.552 0.640 0.726
Se: 0.586 0.173 0.226
Se: 0.586 0.912 0.360
Se: 0.588 0.173 0.448
Se: 0.588 0.914 0.140
Se: 0.640 0.414 0.088
Se: 0.640 0.726 0.552
Se: 0.673 0.086 0.726
Se: 0.673 0.088 0.948
Se: 0.726 0.552 0.640
Se: 0.726 0.673 0.086
Se: 0.774 0.414 0.827
Se: 0.774 0.860 0.948
Se: 0.827 0.552 0.412
Se: 0.827 0.774 0.414
Se: 0.860 0.412 0.086
Se: 0.860 0.948 0.774
Se: 0.912 0.052 0.327
Se: 0.912 0.360 0.586
Se: 0.914 0.140 0.588
Se: 0.914 0.274 0.327
Se: 0.948 0.673 0.088
Se: 0.948 0.774 0.860


# 6
# Ho6SnSe4

A relaxed structure of Ho6SnSe4 (PBE, the Alexandria database).

Calculated values
symmetry	Cmcm, No. 63

Cell: 6.879 6.879 20.596 Å, 90.00 90.00 145.15°
Element x y z (fractional)
Ho: 0.000 0.000 0.000
Ho: 0.000 0.000 0.500
Ho: 0.159 0.841 0.750
Ho: 0.268 0.732 0.096
Ho: 0.268 0.732 0.404
Ho: 0.450 0.550 0.664
Ho: 0.450 0.550 0.836
Ho: 0.550 0.450 0.164
Ho: 0.550 0.450 0.336
Ho: 0.732 0.268 0.596
Ho: 0.732 0.268 0.904
Ho: 0.841 0.159 0.250
Sn: 0.169 0.831 0.250
Sn: 0.831 0.169 0.750
Se: 0.088 0.912 0.623
Se: 0.088 0.912 0.877
Se: 0.358 0.642 0.537
Se: 0.358 0.642 0.963
Se: 0.642 0.358 0.037
Se: 0.642 0.358 0.463
Se: 0.912 0.088 0.123
Se: 0.912 0.088 0.377


Number 1: E -0.4402 Ry/atom, ρ 5.695 g cm⁻³, E_form (uncorrected) -18.506 eV/f.u.. Number 2: E -0.4471 Ry/atom, ρ 7.296 g cm⁻³, E_form (uncorrected) -14.251 eV/f.u.. Number 3: E -0.4147 Ry/atom, ρ 8.420 g cm⁻³, E_form (uncorrected) -18.816 eV/f.u.. Number 4: E -0.3517 Ry/atom, ρ 5.887 g cm⁻³, E_form (uncorrected) -4.890 eV/f.u.. Number 5: E -0.3375 Ry/atom, ρ 5.818 g cm⁻³, E_form (uncorrected) -16.264 eV/f.u.. Number 6: E -0.4070 Ry/atom, ρ 8.494 g cm⁻³, E_form (uncorrected) -15.503 eV/f.u..